Entry 1:
Computed, not measured: RbTc2B2 after structural relaxation at the GGA-PBE level of DFT.

The space group is P4/mbm (No. 127) and the conventional cell measures 7.4918, 7.4918 and 2.8810 Å, with angles of 90.00, 90.00 and 90.00 degrees. The asymmetric unit holds Rb at (0.0000, 0.0000, 0.0000), Tc at (0.1239, 0.3761, 0.0000) and B at (0.0952, 0.5952, 0.5000).

As for the polymorph energy (0 for the lowest one): 584 meV/atom. Its energy of formation is 0.97 eV per atom.



Entry 2:
Computed, not measured: Rb2B2Te after structural relaxation at the GGA-PBE level of DFT.

The space group is P4/mbm (No. 127) and the conventional cell measures 9.9988, 9.9988 and 3.1493 Å, with angles of 90.00, 90.00 and 90.00 degrees. The asymmetric unit holds Rb at (0.2166, 0.2834, 0.0000), B at (0.0567, 0.5567, 0.5000) and Te at (0.0000, 0.0000, 0.0000).

The value obtained for the energy relative to the elements, uncorrected is 916.0 meV/atom. As for the polymorph energy (0 for the lowest one): 11 meV/atom.



Entry 3:
Computed, not measured: RbBTe3 after structural relaxation at the GGA-PBE level of DFT.

The space group is Pm-3m (No. 221) and the conventional cell measures 6.6918, 6.6918 and 6.6918 Å, with angles of 90.00, 90.00 and 90.00 degrees. The asymmetric unit holds Rb at (0.0000, 0.0000, 0.0000), B at (0.5000, 0.5000, 0.5000) and Te at (0.0000, 0.0000, 0.5000).

The value obtained for the energy relative to the elements, uncorrected is 1828.2 meV/atom. As for the polymorph energy (0 for the lowest one): 1999 meV/atom.



Entry 4:
Computed, not measured: Rb2BTe5 after structural relaxation at the GGA-PBE level of DFT.

The space group is Cm (No. 8) and the conventional cell measures 12.6040, 9.1226 and 6.9345 Å, with angles of 90.00, 122.50 and 90.00 degrees. The asymmetric unit holds Rb at (0.0000, 0.0000, 0.0000), Rb at (0.1458, 0.5000, 0.3270), B at (0.0412, 0.0000, 0.5455), Te at (0.1991, 0.3289, 0.8886), Te at (0.2320, 0.0000, 0.8518) and Te at (0.4515, 0.2866, 0.4201).

The value obtained for the energy relative to the elements, uncorrected is -328.0 meV/atom.